{
  "formula": "Mn2BeSi",
  "functional": "PBE",
  "state": "relaxed",
  "cell": [[3.7006, 0.0000, 0.0000], [0.0000, 1.3351, 4.4262], [0.0000, -1.3351, 4.4262]],
  "species": ["Mn", "Mn", "Be", "Si"],
  "frac_coords": [[0.0000, 0.0000, 0.0000], [0.5000, 0.3189, 0.3189], [0.0000, 0.7397, 0.7397], [0.5000, 0.5883, 0.5883]],
  "crystal_system": "orthorhombic",
  "n_ef_per_ev_cell": 2.52,
  "e_form_raw_mev_per_atom": -222.5,
  "space_group": "Amm2 (38)",
  "final_energy_ev_per_atom": -7.095
}

***

{
  "formula": "Mn3Be2Si4",
  "functional": "PBE",
  "state": "relaxed",
  "cell": [[5.7125, -3.9769, 0.0000], [5.7125, 3.9769, 0.0000], [-0.8421, 0.0000, 4.2165]],
  "species": ["Mn", "Mn", "Mn", "Mn", "Mn", "Mn", "Be", "Be", "Be", "Be", "Si", "Si", "Si", "Si", "Si", "Si", "Si", "Si"],
  "frac_coords": [[0.1253, 0.8747, 0.7500], [0.2117, 0.4588, 0.9174], [0.4588, 0.2117, 0.4174], [0.5412, 0.7883, 0.5826], [0.7883, 0.5412, 0.0826], [0.8747, 0.1253, 0.2500], [0.0211, 0.7737, 0.1914], [0.2263, 0.9789, 0.3086], [0.7737, 0.0211, 0.6914], [0.9789, 0.2263, 0.8086], [0.0933, 0.3306, 0.3541], [0.3078, 0.5742, 0.4629], [0.3306, 0.0933, 0.8541], [0.4258, 0.6922, 0.0371], [0.5742, 0.3078, 0.9629], [0.6694, 0.9067, 0.1459], [0.6922, 0.4258, 0.5371], [0.9067, 0.6694, 0.6459]],
  "crystal_system": "monoclinic",
  "n_ef_per_ev_cell": 7.85,
  "e_form_raw_mev_per_atom": -379.5,
  "space_group": "C2/c (15)",
  "final_energy_ev_per_atom": -6.674
}